MgHg2Sb: single point on PBEsol structure, meta-GGA SCAN.

formation energy (no corrections): -0.0671 eV/atom
calculated volume: 23.76 A^3/atom
energy: -44.71 eV/atom
SG: Cm (8)

Unit cell a=3.5685 b=4.8549 c=6.0488 alpha=101.86 beta=90.00 gamma=111.56
With the nearest neighbours (Å) after each atom.
Element x y z (fractional)
Hg 0.0037 0.0074 0.0251  3 Hg 2.91-3.00, 3 Sb 3.06-3.16
Hg 0.7557 0.5114 0.2620  3 Mg 2.90, 3 Hg 2.91-3.00
Mg 0.4984 0.9969 0.4766  3 Hg 2.90, 3 Sb 2.99-3.07
Sb 0.2422 0.4844 0.7362  3 Mg 2.99-3.07, 3 Hg 3.06-3.16

Mg2HgSb: single point on PBEsol structure, meta-GGA SCAN.

formation energy (no corrections): -0.2721 eV/atom
offset from the most stable computed form: 0.000 eV per atom
calculated volume: 23.28 A^3/atom
energy: -29.12 eV/atom
SG: C2/m (12)

Unit cell a=3.4528 b=4.6458 c=6.3888 alpha=100.95 beta=90.00 gamma=111.81
With the nearest neighbours (Å) after each atom.
Element x y z (fractional)
Sb 0.5000 0.0000 0.0000  6 Mg 3.00-3.03
Mg 0.7475 0.4951 0.7306  3 Hg 2.87-2.90, 3 Sb 3.00-3.03
Mg 0.2525 0.5049 0.2694  3 Hg 2.87-2.90, 3 Sb 3.00-3.03
Hg 0.0000 0.0000 0.5000  6 Mg 2.87-2.90

MgHg2Sb: single point on PBEsol structure, meta-GGA SCAN.

formation energy (no corrections): -0.1053 eV/atom
calculated volume: 24.25 A^3/atom
energy: -44.75 eV/atom
SG: Imm2 (44)

Unit cell a=3.3078 b=4.6442 c=6.9275 alpha=109.58 beta=103.81 gamma=90.00
With the nearest neighbours (Å) after each atom.
Element x y z (fractional)
Hg 0.0255 0.0255 0.0510  4 Mg 2.90, 2 Sb 3.13
Hg 0.7997 0.2997 0.5995  2 Mg 2.85, 4 Sb 3.16
Mg 0.4835 0.4835 0.9670  6 Hg 2.85-2.90, 2 Sb 3.10
Sb 0.1913 0.6913 0.3826  2 Mg 3.10, 6 Hg 3.13-3.16, 2 Sb 3.31

MgHg2Sb: single point on PBEsol structure, meta-GGA SCAN.

formation energy (no corrections): -0.0736 eV/atom
calculated volume: 23.58 A^3/atom
energy: -44.72 eV/atom
SG: R3m (160)

Unit cell a=3.4508 b=3.4508 c=9.3616 alpha=79.38 beta=79.38 gamma=60.00
With the nearest neighbours (Å) after each atom.
Element x y z (fractional)
Hg 0.0043 0.0043 0.9872  3 Hg 3.03, 3 Sb 3.22
Hg 0.7541 0.7541 0.7376  3 Mg 2.87, 3 Hg 3.03
Mg 0.4961 0.4961 0.5118  3 Hg 2.87, 3 Sb 3.02
Sb 0.2455 0.2455 0.2635  3 Mg 3.02, 3 Hg 3.22

Mg2HgSb: single point on PBEsol structure, meta-GGA SCAN.

formation energy (no corrections): -0.2352 eV/atom
offset from the most stable computed form: 0.037 eV per atom
calculated volume: 22.82 A^3/atom
energy: -29.08 eV/atom
SG: Fm-3m (225)

Unit cell a=5.0543 b=5.0543 c=5.0543 alpha=60.00 beta=60.00 gamma=60.00
With the nearest neighbours (Å) after each atom.
Element x y z (fractional)
Sb 0.5000 0.5000 0.5000  8 Mg 3.10
Mg 0.2500 0.2500 0.2500  4 Hg 3.10, 4 Sb 3.10
Mg 0.7500 0.7500 0.7500  4 Sb 3.10, 4 Hg 3.10
Hg 0.0000 0.0000 0.0000  8 Mg 3.10

MgHg2Sb: single point on PBEsol structure, meta-GGA SCAN.

formation energy (no corrections): -0.0846 eV/atom
calculated volume: 23.36 A^3/atom
energy: -44.73 eV/atom
SG: Immm (71)

Unit cell a=3.1196 b=5.6491 c=6.2076 alpha=117.07 beta=104.55 gamma=90.00
With the nearest neighbours (Å) after each atom.
Element x y z (fractional)
Hg 0.7673 0.7673 0.5347  2 Mg 2.92, 6 Hg 3.12-3.25, 2 Sb 3.24
Hg 0.2327 0.2327 0.4653  2 Mg 2.92, 6 Hg 3.12-3.25, 2 Sb 3.24
Mg 0.5000 0.0000 0.0000  4 Hg 2.92, 2 Mg 3.12, 4 Sb 3.23
Sb 0.0000 0.5000 0.0000  2 Sb 3.12, 4 Mg 3.23, 4 Hg 3.24

MgHgSb: single point on PBEsol structure, meta-GGA SCAN.

formation energy (no corrections): -0.1523 eV/atom
calculated volume: 25.37 A^3/atom
energy: -36.95 eV/atom
SG: F-43m (216)

Unit cell a=4.7568 b=4.7568 c=4.7568 alpha=60.00 beta=60.00 gamma=60.00
With the nearest neighbours (Å) after each atom.
Element x y z (fractional)
Sb 0.0000 0.0000 0.0000  4 Mg 2.91
Mg 0.2500 0.2500 0.2500  4 Hg 2.91, 4 Sb 2.91
Hg 0.5000 0.5000 0.5000  4 Mg 2.91

Mg4ScHg: single point on PBEsol structure, meta-GGA SCAN.

calculated volume: 22.49 A^3/atom
energy: -16.98 eV/atom
formation enthalpy at 0 K: 0.0668 eV per atom
SG: F-43m (216)

Unit cell a=5.7576 b=5.7576 c=5.7576 alpha=60.00 beta=60.00 gamma=60.00
With the nearest neighbours (Å) after each atom.
Element x y z (fractional)
Hg 0.0000 0.0000 0.0000  12 Mg 3.38, 4 Sc 3.53
Mg 0.3756 0.3756 0.3756  6 Mg 2.87-2.89
Mg 0.3756 0.3756 0.8733  6 Mg 2.87-2.89
Mg 0.8733 0.3756 0.3756  6 Mg 2.87-2.89
Mg 0.3756 0.8733 0.3756  6 Mg 2.87-2.89
Sc 0.7500 0.7500 0.7500  12 Mg 3.37, 4 Hg 3.53

MgSc2Hg: single point on PBEsol structure, meta-GGA SCAN.

calculated volume: 21.65 A^3/atom
energy: -25.70 eV/atom
formation enthalpy at 0 K: -0.2961 eV per atom
SG: P4mm (99)

Unit cell a=3.5760 b=3.5760 c=6.7724 alpha=90.00 beta=90.00 gamma=90.00
With the nearest neighbours (Å) after each atom.
Element x y z (fractional)
Sc 0.0000 0.0000 0.9995  4 Mg 3.09, 4 Sc 3.09, 2 Hg 3.37-3.40
Sc 0.5000 0.5000 0.2621  4 Hg 3.00, 4 Sc 3.09, 1 Mg 3.22
Mg 0.5000 0.5000 0.7372  4 Hg 2.99, 5 Sc 3.09-3.22
Hg 0.0000 0.0000 0.5012  4 Mg 2.99, 4 Sc 3.00

MgSc2Hg: single point on PBEsol structure, meta-GGA SCAN.

calculated volume: 21.19 A^3/atom
energy: -25.77 eV/atom
formation enthalpy at 0 K: -0.3699 eV per atom
SG: I4/mmm (139)

Unit cell a=4.4728 b=4.4728 c=5.2868 alpha=115.02 beta=115.02 gamma=90.00
With the nearest neighbours (Å) after each atom.
Element x y z (fractional)
Sc 0.7500 0.2500 0.5000  4 Hg 3.08, 4 Mg 3.08, 4 Sc 3.16
Sc 0.2500 0.7500 0.5000  4 Hg 3.08, 4 Mg 3.08, 4 Sc 3.16
Mg 0.0000 0.0000 0.0000  8 Sc 3.08, 4 Hg 3.16
Hg 0.5000 0.5000 0.0000  8 Sc 3.08, 4 Mg 3.16

Mg3ScHg: single point on PBEsol structure, meta-GGA SCAN.

calculated volume: 36.66 A^3/atom
energy: -18.49 eV/atom
formation enthalpy at 0 K: 0.9733 eV per atom
SG: Pm-3m (221)

Unit cell a=5.6807 b=5.6807 c=5.6807 alpha=90.00 beta=90.00 gamma=90.00
With the nearest neighbours (Å) after each atom.
Element x y z (fractional)
Sc 0.0000 0.0000 0.0000  6 Mg 2.84
Mg 0.0000 0.5000 0.0000  2 Sc 2.84
Mg 0.0000 0.0000 0.5000  2 Sc 2.84
Mg 0.5000 0.0000 0.0000  2 Sc 2.84
Hg 0.5000 0.5000 0.5000  12 Mg 4.02

MgSc2Hg: single point on PBEsol structure, meta-GGA SCAN.

calculated volume: 21.78 A^3/atom
energy: -25.73 eV/atom
formation enthalpy at 0 K: -0.3233 eV per atom
SG: Imm2 (44)

Unit cell a=3.4390 b=4.9486 c=5.9407 alpha=114.61 beta=106.82 gamma=90.00
With the nearest neighbours (Å) after each atom.
Element x y z (fractional)
Sc 0.9984 0.9984 0.9969  4 Hg 3.01, 2 Sc 3.25, 2 Mg 3.27
Sc 0.7681 0.2681 0.5363  2 Hg 2.99, 4 Mg 3.04, 2 Sc 3.25
Mg 0.2266 0.7266 0.4531  2 Hg 2.83, 4 Sc 3.04
Hg 0.5069 0.5069 0.0137  2 Mg 2.83, 6 Sc 2.99-3.01

MgSc3Hg: single point on PBEsol structure, meta-GGA SCAN.

calculated volume: 29.15 A^3/atom
energy: -22.99 eV/atom
formation enthalpy at 0 K: 0.1762 eV per atom
SG: Pm-3m (221)

Unit cell a=5.2623 b=5.2623 c=5.2623 alpha=90.00 beta=90.00 gamma=90.00
With the nearest neighbours (Å) after each atom.
Element x y z (fractional)
Sc 0.0000 0.5000 0.0000  2 Hg 2.63
Sc 0.0000 0.0000 0.5000  2 Hg 2.63
Sc 0.5000 0.0000 0.0000  2 Hg 2.63
Mg 0.5000 0.5000 0.5000  12 Sc 3.72
Hg 0.0000 0.0000 0.0000  6 Sc 2.63

MgSc2Hg: single point on PBEsol structure, meta-GGA SCAN.

calculated volume: 21.88 A^3/atom
energy: -25.73 eV/atom
formation enthalpy at 0 K: -0.3269 eV per atom
SG: Pm (6)

Unit cell a=3.2964 b=4.6610 c=5.8523 alpha=90.00 beta=103.28 gamma=90.00
With the nearest neighbours (Å) after each atom.
Element x y z (fractional)
Sc 0.0375 0.0000 0.9685  3 Hg 2.92-3.27, 4 Mg 3.05-3.13
Sc 0.7149 0.5000 0.2891  3 Mg 3.01-3.20, 4 Hg 3.01-3.10, 4 Sc 3.30-3.32
Mg 0.4320 0.5000 0.7623  2 Hg 2.83, 6 Sc 3.01-3.13
Hg 0.3156 0.0000 0.4801  2 Mg 2.83, 5 Sc 2.92-3.10

MgSc2Hg: single point on PBEsol structure, meta-GGA SCAN.

calculated volume: 21.27 A^3/atom
energy: -25.80 eV/atom
formation enthalpy at 0 K: -0.3990 eV per atom
SG: Fm-3m (225)

Unit cell a=4.9365 b=4.9365 c=4.9365 alpha=60.00 beta=60.00 gamma=60.00
With the nearest neighbours (Å) after each atom.
Element x y z (fractional)
Sc 0.2500 0.2500 0.2500  4 Hg 3.02, 4 Mg 3.02
Sc 0.7500 0.7500 0.7500  4 Hg 3.02, 4 Mg 3.02
Mg 0.5000 0.5000 0.5000  8 Sc 3.02
Hg 0.0000 0.0000 0.0000  8 Sc 3.02

MgSc2Hg: single point on PBEsol structure, meta-GGA SCAN.

calculated volume: 22.30 A^3/atom
energy: -25.62 eV/atom
formation enthalpy at 0 K: -0.2183 eV per atom
SG: P2/m (10)

Unit cell a=3.2786 b=5.2269 c=5.5474 alpha=110.25 beta=90.00 gamma=90.00
With the nearest neighbours (Å) after each atom.
Element x y z (fractional)
Hg 0.5000 0.5000 0.0000  6 Sc 3.08-3.09, 4 Mg 3.22, 2 Hg 3.28
Mg 0.0000 0.5000 0.5000  6 Sc 3.08-3.09, 4 Hg 3.22, 2 Mg 3.28
Sc 0.0000 0.0000 0.0000  2 Mg 3.08, 4 Hg 3.09, 6 Sc 3.22-3.28
Sc 0.5000 0.0000 0.5000  2 Hg 3.08, 4 Mg 3.09, 6 Sc 3.22-3.28

MgSc2Hg: single point on PBEsol structure, meta-GGA SCAN.

calculated volume: 21.41 A^3/atom
energy: -25.79 eV/atom
formation enthalpy at 0 K: -0.3878 eV per atom
SG: P4/mmm (123)

Unit cell a=3.5602 b=3.5583 c=6.7611 alpha=90.00 beta=90.00 gamma=90.00
With the nearest neighbours (Å) after each atom.
Element x y z (fractional)
Sc 0.0000 0.0000 0.7538  4 Hg 3.02, 4 Mg 3.05, 1 Sc 3.33
Sc 0.0000 0.0000 0.2462  4 Hg 3.02, 4 Mg 3.05, 1 Sc 3.33
Mg 0.5000 0.5000 0.5000  8 Sc 3.05, 2 Hg 3.38
Hg 0.5000 0.5000 0.0000  8 Sc 3.02

MgHg2Se: single point on PBEsol structure, meta-GGA SCAN.

formation energy (no corrections): -0.2596 eV/atom
calculated volume: 23.46 A^3/atom
energy: -40.61 eV/atom
SG: R-3m (166)

Unit cell a=3.9435 b=3.9435 c=7.3311 alpha=74.40 beta=74.40 gamma=60.00
With the nearest neighbours (Å) after each atom.
Element x y z (fractional)
Hg 0.2520 0.2520 0.2440  3 Se 2.84, 3 Mg 2.89
Hg 0.7480 0.7480 0.7560  3 Se 2.84, 3 Mg 2.89
Mg 0.5000 0.5000 0.5000  6 Hg 2.89
Se 0.0000 0.0000 0.0000  6 Hg 2.84

MgHg2Se: single point on PBEsol structure, meta-GGA SCAN.

formation energy (no corrections): -0.5047 eV/atom
calculated volume: 25.01 A^3/atom
energy: -40.85 eV/atom
SG: R3m (160)

Unit cell a=4.0189 b=4.0189 c=7.5196 alpha=74.50 beta=74.50 gamma=60.00
With the nearest neighbours (Å) after each atom.
Element x y z (fractional)
Mg 0.5151 0.5151 0.4548  3 Se 2.57
Hg 0.9980 0.9980 0.0059  3 Hg 3.01, 3 Se 3.14
Hg 0.7540 0.7540 0.7379  3 Hg 3.01, 3 Mg 3.08
Se 0.2329 0.2329 0.3014  3 Mg 2.57

MgHg3Se: single point on PBEsol structure, meta-GGA SCAN.

formation energy (no corrections): 0.3519 eV/atom
calculated volume: 31.38 A^3/atom
energy: -45.56 eV/atom
SG: Pm-3m (221)

Unit cell a=5.3938 b=5.3938 c=5.3938 alpha=90.00 beta=90.00 gamma=90.00
With the nearest neighbours (Å) after each atom.
Element x y z (fractional)
Mg 0.5000 0.5000 0.5000  12 Hg 3.81
Hg 0.0000 0.5000 0.0000  2 Se 2.70
Hg 0.0000 0.0000 0.5000  2 Se 2.70
Hg 0.5000 0.0000 0.0000  2 Se 2.70
Se 0.0000 0.0000 0.0000  6 Hg 2.70